(1)
Material: Ba3Sr
Method: DFT, GGA-PBEsol
State: relaxed

Cell and atoms, written as POSCAR:
```
Ba3Sr
1.0
4.2972 0.0000 0.0000
0.0000 7.0697 0.0000
0.0000 0.0000 7.4490
Ba Sr
3 1
Direct
0.0000 0.0000 0.0000 Ba
0.0000 0.5000 0.3340 Ba
0.5000 0.0000 0.5013 Ba
0.5000 0.5000 0.8351 Sr
```

As for the formation energy: 0.011 eV per atom. The value obtained for the energy above the most stable polymorph in this dataset is 4.8 kJ/mol of formula units. Its space group is Pmm2 (25).

=====

(2)
Material: Ba3Sr5
Method: DFT, GGA-PBEsol
State: relaxed

Cell and atoms, written as POSCAR:
```
Ba3Sr5
1.0
6.0120 -6.0744 0.0000
6.0120 6.0744 0.0000
0.0000 0.0000 6.0101
Ba Sr
3 5
Direct
0.0000 0.0000 0.0000 Ba
0.2517 0.7483 0.5000 Ba
0.7483 0.2517 0.5000 Ba
0.0000 0.5000 0.0000 Sr
0.2526 0.2526 0.5000 Sr
0.5000 0.0000 0.0000 Sr
0.5000 0.5000 0.0000 Sr
0.7474 0.7474 0.5000 Sr
```

As for the formation energy: 0.012 eV per atom. Its space group is Cmmm (65).

=====

D(E_F) for the records above, in order: 6.25, 9.78 states/eV/f.u.